# YTe2As (PBE, relaxed)
# SG: No. 99
# E_tot: -0.1813 Ha/atom
# theoretical density: 6.1 g/cm3
data_YTe2As
_space_group_name_H-M_alt 'P 1'
_space_group_IT_number 1
_cell_length_a 3.8690
_cell_length_b 3.8694
_cell_length_c 7.6622
_cell_angle_alpha 90.00
_cell_angle_beta 90.00
_cell_angle_gamma 90.00
loop_
_space_group_symop_operation_xyz
'x,y,z'
loop_
_atom_site_label
_atom_site_fract_x
_atom_site_fract_y
_atom_site_fract_z
Y1 0.0000 0.0000 0.5436
As1 0.5000 0.5000 0.6815
Te1 0.0000 0.0000 0.9546
Te2 0.5000 0.5000 0.3203

=====

# Y5Te4As (PBE, relaxed)
# SG: No. 139
# E_tot: -0.2331 Ha/atom
# theoretical density: 6.0 g/cm3
data_Y5Te4As
_space_group_name_H-M_alt 'P 1'
_space_group_IT_number 1
_cell_length_a 4.2578
_cell_length_b 4.2578
_cell_length_c 16.0432
_cell_angle_alpha 97.63
_cell_angle_beta 97.63
_cell_angle_gamma 90.00
loop_
_space_group_symop_operation_xyz
'x,y,z'
loop_
_atom_site_label
_atom_site_fract_x
_atom_site_fract_y
_atom_site_fract_z
Y1 0.0874 0.0874 0.1747
Y2 0.5000 0.5000 0.0000
Y3 0.9126 0.9126 0.8253
Y4 0.2888 0.2888 0.5776
Y5 0.7112 0.7112 0.4224
Te1 0.3973 0.3973 0.7946
Te2 0.8093 0.8093 0.6186
Te3 0.1907 0.1907 0.3814
Te4 0.6027 0.6027 0.2054
As1 0.0000 0.0000 0.0000

=====

# YTe3As (PBE, relaxed)
# SG: No. 221
# E_tot: -0.1551 Ha/atom
# theoretical density: 5.8 g/cm3
# distance to the lowest polymorph of the same formula: 0.0 kJ/mol of atoms
data_YTe3As
_space_group_name_H-M_alt 'P 1'
_space_group_IT_number 1
_cell_length_a 5.3934
_cell_length_b 5.3934
_cell_length_c 5.3934
_cell_angle_alpha 90.00
_cell_angle_beta 90.00
_cell_angle_gamma 90.00
loop_
_space_group_symop_operation_xyz
'x,y,z'
loop_
_atom_site_label
_atom_site_fract_x
_atom_site_fract_y
_atom_site_fract_z
Y1 0.5000 0.5000 0.5000
As1 0.0000 0.0000 0.0000
Te1 0.0000 0.5000 0.0000
Te2 0.0000 0.0000 0.5000
Te3 0.5000 0.0000 0.0000

=====

# YTe2As (PBE, relaxed)
# SG: No. 71
# E_tot: -0.1858 Ha/atom
# theoretical density: 5.2 g/cm3
data_YTe2As
_space_group_name_H-M_alt 'P 1'
_space_group_IT_number 1
_cell_length_a 7.8490
_cell_length_b 7.8490
_cell_length_c 4.1820
_cell_angle_alpha 74.54
_cell_angle_beta 74.54
_cell_angle_gamma 32.74
loop_
_space_group_symop_operation_xyz
'x,y,z'
loop_
_atom_site_label
_atom_site_fract_x
_atom_site_fract_y
_atom_site_fract_z
Y1 0.2500 0.2500 0.2500
As1 0.7500 0.7500 0.7500
Te1 0.8986 0.8986 0.1011
Te2 0.6014 0.6014 0.3989

=====

# Y6TeAs5 (PBE, relaxed)
# SG: No. 12
# E_tot: -0.2567 Ha/atom
# theoretical density: 5.6 g/cm3
data_Y6TeAs5
_space_group_name_H-M_alt 'P 1'
_space_group_IT_number 1
_cell_length_a 7.2142
_cell_length_b 7.2184
_cell_length_c 7.2097
_cell_angle_alpha 59.96
_cell_angle_beta 80.38
_cell_angle_gamma 70.50
loop_
_space_group_symop_operation_xyz
'x,y,z'
loop_
_atom_site_label
_atom_site_fract_x
_atom_site_fract_y
_atom_site_fract_z
Y1 0.7414 0.0865 0.3488
Y2 0.2586 0.5647 0.3488
Y3 0.2569 0.2629 0.0000
Y4 0.7431 0.7371 0.0000
Y5 0.7414 0.4353 0.6512
Y6 0.2586 0.9135 0.6512
As1 0.5000 0.1620 0.6760
As2 0.0000 0.3326 0.3348
As3 0.5000 0.5000 0.0000
As4 0.0000 0.6674 0.6652
As5 0.5000 0.8380 0.3240
Te1 0.0000 0.0000 0.0000

=====

# YTe2As (PBE, relaxed)
# SG: No. 123
# E_tot: -0.1773 Ha/atom
# theoretical density: 6.7 g/cm3
data_YTe2As
_space_group_name_H-M_alt 'P 1'
_space_group_IT_number 1
_cell_length_a 5.1664
_cell_length_b 5.1681
_cell_length_c 3.8926
_cell_angle_alpha 90.00
_cell_angle_beta 90.00
_cell_angle_gamma 90.01
loop_
_space_group_symop_operation_xyz
'x,y,z'
loop_
_atom_site_label
_atom_site_fract_x
_atom_site_fract_y
_atom_site_fract_z
Y1 0.5000 0.0000 0.5000
As1 0.0000 0.5000 0.5000
Te1 0.0000 0.0000 0.0000
Te2 0.5000 0.5000 0.0000

=====

# YTe2As (PBE, relaxed)
# SG: No. 47
# E_tot: -0.1782 Ha/atom
# theoretical density: 6.3 g/cm3
data_YTe2As
_space_group_name_H-M_alt 'P 1'
_space_group_IT_number 1
_cell_length_a 4.2510
_cell_length_b 6.1582
_cell_length_c 4.2107
_cell_angle_alpha 90.00
_cell_angle_beta 90.00
_cell_angle_gamma 90.00
loop_
_space_group_symop_operation_xyz
'x,y,z'
loop_
_atom_site_label
_atom_site_fract_x
_atom_site_fract_y
_atom_site_fract_z
Y1 0.5000 0.0000 0.5000
As1 0.0000 0.5000 0.5000
Te1 0.0000 0.0000 0.0000
Te2 0.5000 0.5000 0.0000

=====

# Y3Te12As5 (PBE, relaxed)
# SG: No. 230
# E_tot: -0.1622 Ha/atom
# theoretical density: 5.4 g/cm3
data_Y3Te12As5
_space_group_name_H-M_alt 'P 1'
_space_group_IT_number 1
_cell_length_a 15.1604
_cell_length_b 15.1604
_cell_length_c 15.1604
_cell_angle_alpha 109.47
_cell_angle_beta 109.47
_cell_angle_gamma 109.47
loop_
_space_group_symop_operation_xyz
'x,y,z'
loop_
_atom_site_label
_atom_site_fract_x
_atom_site_fract_y
_atom_site_fract_z
Y1 0.7500 0.3750 0.1250
Y2 0.8750 0.7500 0.1250
Y3 0.3750 0.7500 0.6250
Y4 0.2500 0.1250 0.3750
Y5 0.8750 0.1250 0.2500
Y6 0.3750 0.6250 0.2500
Y7 0.6250 0.3750 0.7500
Y8 0.1250 0.8750 0.7500
Y9 0.7500 0.8750 0.6250
Y10 0.6250 0.2500 0.3750
Y11 0.1250 0.2500 0.8750
Y12 0.2500 0.6250 0.8750
As1 0.1250 0.3750 0.2500
As2 0.0000 0.5000 0.0000
As3 0.0000 0.0000 0.0000
As4 0.3750 0.2500 0.1250
As5 0.5000 0.0000 0.5000
As6 0.5000 0.5000 0.0000
As7 0.1250 0.7500 0.3750
As8 0.7500 0.1250 0.8750
As9 0.7500 0.6250 0.3750
As10 0.3750 0.1250 0.7500
As11 0.6250 0.8750 0.2500
As12 0.5000 0.5000 0.5000
As13 0.5000 0.0000 0.0000
As14 0.0000 0.0000 0.5000
As15 0.2500 0.3750 0.6250
As16 0.2500 0.8750 0.1250
As17 0.0000 0.5000 0.5000
As18 0.8750 0.2500 0.6250
As19 0.6250 0.7500 0.8750
As20 0.8750 0.6250 0.7500
Te1 0.7155 0.1337 0.0454
Te2 0.3299 0.5454 0.4117
Te3 0.9546 0.3663 0.2845
Te4 0.5454 0.2155 0.1337
Te5 0.5818 0.7155 0.6701
Te6 0.9546 0.5883 0.1701
Te7 0.3299 0.7845 0.4182
Te8 0.0883 0.9182 0.1337
Te9 0.5883 0.9546 0.6701
Te10 0.7155 0.5818 0.1701
Te11 0.7845 0.4546 0.3663
Te12 0.8299 0.9117 0.0454
Te13 0.1337 0.7155 0.5454
Te14 0.3663 0.4117 0.0818
Te15 0.0818 0.9117 0.3663
Te16 0.4182 0.1337 0.5883
Te17 0.0818 0.1701 0.2155
Te18 0.4546 0.6701 0.0883
Te19 0.8299 0.9182 0.2845
Te20 0.1337 0.4182 0.0883
Te21 0.3663 0.9546 0.7845
Te22 0.5883 0.6337 0.4182
Te23 0.9117 0.8299 0.5454
Te24 0.7845 0.3299 0.9182
Te25 0.4117 0.3663 0.5818
Te26 0.0883 0.1701 0.4546
Te27 0.2155 0.6701 0.0818
Te28 0.1701 0.0818 0.7155
Te29 0.6337 0.0454 0.2155
Te30 0.8663 0.5818 0.9117
Te31 0.5454 0.3299 0.9117
Te32 0.5818 0.8663 0.4117
Te33 0.9182 0.8299 0.7845
Te34 0.9182 0.0883 0.6337
Te35 0.8663 0.2845 0.4546
Te36 0.1701 0.0883 0.9546
Te37 0.6337 0.5883 0.9182
Te38 0.4117 0.0454 0.3299
Te39 0.2845 0.4182 0.8299
Te40 0.2155 0.5454 0.6337
Te41 0.9117 0.0818 0.8663
Te42 0.6701 0.2155 0.5818
Te43 0.4546 0.7845 0.8663
Te44 0.0454 0.4117 0.8299
Te45 0.4182 0.2845 0.3299
Te46 0.0454 0.6337 0.7155
Te47 0.6701 0.4546 0.5883
Te48 0.2845 0.8663 0.9546

=====

# YTe2As (PBE, relaxed)
# SG: No. 6
# E_tot: -0.1883 Ha/atom
# theoretical density: 5.4 g/cm3
data_YTe2As
_space_group_name_H-M_alt 'P 1'
_space_group_IT_number 1
_cell_length_a 3.9652
_cell_length_b 4.0602
_cell_length_c 8.1542
_cell_angle_alpha 76.55
_cell_angle_beta 90.00
_cell_angle_gamma 90.00
loop_
_space_group_symop_operation_xyz
'x,y,z'
loop_
_atom_site_label
_atom_site_fract_x
_atom_site_fract_y
_atom_site_fract_z
Y1 0.0000 0.6804 0.5047
As1 0.5000 0.5457 0.7947
Te1 0.0000 0.0204 0.8520
Te2 0.5000 0.2534 0.3486

=====

# Y3Te2As (PBE, relaxed)
# SG: No. 71
# E_tot: -0.2388 Ha/atom
# theoretical density: 5.9 g/cm3
# distance to the lowest polymorph of the same formula: 1.2 kJ/mol of atoms
data_Y3Te2As
_space_group_name_H-M_alt 'P 1'
_space_group_IT_number 1
_cell_length_a 4.2327
_cell_length_b 6.0270
_cell_length_c 7.5303
_cell_angle_alpha 113.59
_cell_angle_beta 106.32
_cell_angle_gamma 90.00
loop_
_space_group_symop_operation_xyz
'x,y,z'
loop_
_atom_site_label
_atom_site_fract_x
_atom_site_fract_y
_atom_site_fract_z
Y1 0.8559 0.3559 0.2118
Y2 0.1441 0.6441 0.7882
Y3 0.5000 0.0000 0.5000
Te1 0.8261 0.8261 0.1522
Te2 0.1739 0.1739 0.8478
As1 0.5000 0.5000 0.5000

=====

# YTe2As (PBE, relaxed)
# SG: No. 160
# E_tot: -0.1806 Ha/atom
# theoretical density: 5.3 g/cm3
data_YTe2As
_space_group_name_H-M_alt 'P 1'
_space_group_IT_number 1
_cell_length_a 7.7532
_cell_length_b 7.7532
_cell_length_c 7.7532
_cell_angle_alpha 34.11
_cell_angle_beta 34.11
_cell_angle_gamma 34.11
loop_
_space_group_symop_operation_xyz
'x,y,z'
loop_
_atom_site_label
_atom_site_fract_x
_atom_site_fract_y
_atom_site_fract_z
Y1 0.4909 0.4909 0.4909
As1 0.7402 0.7402 0.7402
Te1 0.0385 0.0385 0.0385
Te2 0.2303 0.2303 0.2303

=====

# YTe2As (PBE, relaxed)
# SG: No. 216
# E_tot: -0.1683 Ha/atom
# theoretical density: 6.6 g/cm3
data_YTe2As
_space_group_name_H-M_alt 'P 1'
_space_group_IT_number 1
_cell_length_a 5.2966
_cell_length_b 5.2966
_cell_length_c 5.2966
_cell_angle_alpha 60.00
_cell_angle_beta 60.00
_cell_angle_gamma 60.00
loop_
_space_group_symop_operation_xyz
'x,y,z'
loop_
_atom_site_label
_atom_site_fract_x
_atom_site_fract_y
_atom_site_fract_z
Y1 0.7500 0.7500 0.7500
As1 0.5000 0.5000 0.5000
Te1 0.0000 0.0000 0.0000
Te2 0.2500 0.2500 0.2500

=====

E_form (uncorrected) readings, ordered: -585 -1390 -112 -707 -1554 -475 -501 -396 -776 -1443 -565 -230 meV/atom